Computed, not measured: an optimized crystal structure of KLi2Rh at the PBE level of DFT.

```
4
Lattice="2.8238 0.0000 0.0000 0.0000 4.1288 0.0000 -1.3027 0.0000 7.2076" Properties=species:S:1:pos:R:3 pbc="T T T"
K 0.0000 0.0000 0.0000
Li 0.9061 2.0644 2.4714
Li 0.6150 2.0644 4.7361
Rh -0.6514 0.0000 3.6038
```

Computed properties:
Its space-group type is No. 10. As for the density of states at the Fermi level: 1.988 states/eV/cell. The value obtained for the calculated formation energy is 0.2073 eV per atom. The calculation puts the total energy at -2.862 eV per atom. For the total moment, the calculation gives 0.4 μB/cell.